## GdDy2Th (GGA-PBE)

Data for a relaxed GdDy2Th crystal.

```
GdDy2Th
1.0
5.670 0.000 0.000
2.835 4.910 0.000
2.835 1.637 4.629
Gd Dy Th
1 2 1
Cartesian
5.670 3.273 2.315 Gd
2.835 1.637 1.157 Dy
8.505 4.910 3.472 Dy
0.000 0.000 0.000 Th
```

- Relative energy among the computed polymorphs: 0.42 eV/f.u.
- Density: 9.20 g/cm³
- V: 32.2 Å³/atom
- SG: No. 225
- E_form: 0.14 eV/atom